! BeZn2Co | Alexandria via LeMat-Bulk | PBE-GGA | optimized geometry; values from VASP
! Formation enthalpy at 0 K (meV/atom): -1
! SG: No. 119
! Crystal system: tetragonal
! DFT total energy (eV per cell): -13.4
&SYSTEM
  ibrav = 0, nat = 4, ntyp = 3
/
ATOMIC_SPECIES
Be 9.01 Be.upf
Zn 65.41 Zn.upf
Co 58.93 Co.upf
ATOMIC_POSITIONS angstrom
Be -0.088 -1.191 -3.582
Zn 0.000 0.000 0.000
Zn 1.377 -1.570 -1.502
Co -1.059 -1.937 -1.320
CELL_PARAMETERS angstrom
-2.524 -1.558 -3.400
2.348 -0.825 -3.764
0.493 -1.124 4.342

***

! BeZnCo3 | Alexandria via LeMat-Bulk | PBE-GGA | optimized geometry; values from VASP
! Excess energy over the best structure of this formula in the dataset (meV/atom): 0.0
! Formation enthalpy at 0 K (meV/atom): 417
! SG: No. 221
! Crystal system: cubic
! DFT total energy (eV per cell): -24.2
&SYSTEM
  ibrav = 0, nat = 5, ntyp = 3
/
ATOMIC_SPECIES
Be 9.01 Be.upf
Zn 65.41 Zn.upf
Co 58.93 Co.upf
ATOMIC_POSITIONS angstrom
Be 0.000 0.000 0.000
Zn 1.939 1.939 1.939
Co 0.000 1.939 0.000
Co 0.000 0.000 1.939
Co 1.939 0.000 0.000
CELL_PARAMETERS angstrom
3.878 0.000 0.000
0.000 3.878 0.000
0.000 0.000 3.878

***

! BeZnCo2 | Alexandria via LeMat-Bulk | PBE-GGA | optimized geometry; values from VASP
! Excess energy over the best structure of this formula in the dataset (meV/atom): 93.5
! Formation enthalpy at 0 K (meV/atom): -21
! SG: No. 123
! Crystal system: tetragonal
! DFT total energy (eV per cell): -19.3
&SYSTEM
  ibrav = 0, nat = 4, ntyp = 3
/
ATOMIC_SPECIES
Be 9.01 Be.upf
Zn 65.41 Zn.upf
Co 58.93 Co.upf
ATOMIC_POSITIONS angstrom
Be -2.280 -0.531 -0.487
Zn -0.098 -1.718 -1.661
Co 0.000 0.000 0.000
Co -1.155 -2.469 0.348
CELL_PARAMETERS angstrom
-1.223 0.220 -2.496
1.027 -3.656 -0.826
-3.338 -1.282 1.522

***

! Be4ZnCo3 | Alexandria via LeMat-Bulk | PBE-GGA | optimized geometry; values from VASP
! Formation enthalpy at 0 K (meV/atom): -266
! SG: No. 123
! Crystal system: tetragonal
! DFT total energy (eV per cell): -79.3
&SYSTEM
  ibrav = 0, nat = 16, ntyp = 3
/
ATOMIC_SPECIES
Be 9.01 Be.upf
Zn 65.41 Zn.upf
Co 58.93 Co.upf
ATOMIC_POSITIONS angstrom
Be -2.602 2.866 2.360
Be 0.436 4.571 3.640
Be -1.085 1.920 0.019
Be 1.954 3.624 1.299
Be 1.484 6.959 3.354
Be -0.612 2.182 3.927
Be 0.906 1.235 1.586
Be 3.002 6.012 1.013
Zn -1.372 0.856 2.117
Zn 1.666 2.560 3.397
Co 0.000 0.000 0.000
Co 3.038 1.704 1.280
Co 4.086 4.093 0.994
Co 1.048 2.389 -0.287
Co 2.714 4.948 3.110
Co -0.324 3.246 1.829
CELL_PARAMETERS angstrom
-0.943 3.074 -1.854
-2.744 1.712 4.233
6.077 3.408 2.561

***

! BeZnCo2 | Alexandria via LeMat-Bulk | PBE-GGA | optimized geometry; values from VASP
! Excess energy over the best structure of this formula in the dataset (meV/atom): 0.0
! Formation enthalpy at 0 K (meV/atom): -115
! SG: No. 123
! Crystal system: tetragonal
! DFT total energy (eV per cell): -19.7
&SYSTEM
  ibrav = 0, nat = 4, ntyp = 3
/
ATOMIC_SPECIES
Be 9.01 Be.upf
Zn 65.41 Zn.upf
Co 58.93 Co.upf
ATOMIC_POSITIONS angstrom
Be -0.901 -4.567 -0.764
Zn -0.293 -1.845 -1.478
Co -1.171 -5.243 1.376
Co -0.653 -2.922 0.767
CELL_PARAMETERS angstrom
-1.845 -0.099 -1.948
1.866 -0.869 -1.723
-1.215 -5.443 1.429

***

! BeZn2Co | Alexandria via LeMat-Bulk | PBE-GGA | optimized geometry; values from VASP
! Formation enthalpy at 0 K (meV/atom): 73
! SG: No. 10
! Crystal system: monoclinic
! DFT total energy (eV per cell): -13.1
&SYSTEM
  ibrav = 0, nat = 4, ntyp = 3
/
ATOMIC_SPECIES
Be 9.01 Be.upf
Zn 65.41 Zn.upf
Co 58.93 Co.upf
ATOMIC_POSITIONS angstrom
Be 1.950 0.944 1.183
Zn 0.000 0.201 0.028
Zn 0.000 1.686 2.338
Co 1.950 2.831 3.550
CELL_PARAMETERS angstrom
3.901 0.000 0.000
0.000 2.534 0.001
0.000 1.242 4.732

***

! BeZn2Co | Alexandria via LeMat-Bulk | PBE-GGA | optimized geometry; values from VASP
! Formation enthalpy at 0 K (meV/atom): 83
! SG: No. 12
! Crystal system: monoclinic
! DFT total energy (eV per cell): -13.0
&SYSTEM
  ibrav = 0, nat = 4, ntyp = 3
/
ATOMIC_SPECIES
Be 9.01 Be.upf
Zn 65.41 Zn.upf
Co 58.93 Co.upf
ATOMIC_POSITIONS angstrom
Be 2.578 0.353 1.181
Zn 0.000 0.000 0.000
Zn 1.277 2.101 -0.008
Co -0.873 2.451 1.181
CELL_PARAMETERS angstrom
4.728 0.003 -0.008
-2.174 4.198 -0.008
0.428 0.704 2.371

***

! BeZnCo2 | Alexandria via LeMat-Bulk | PBE-GGA | optimized geometry; values from VASP
! Excess energy over the best structure of this formula in the dataset (meV/atom): 100.9
! Formation enthalpy at 0 K (meV/atom): -14
! SG: No. 12
! Crystal system: monoclinic
! DFT total energy (eV per cell): -19.3
&SYSTEM
  ibrav = 0, nat = 4, ntyp = 3
/
ATOMIC_SPECIES
Be 9.01 Be.upf
Zn 65.41 Zn.upf
Co 58.93 Co.upf
ATOMIC_POSITIONS angstrom
Be 2.514 0.768 0.907
Zn 7.542 2.303 2.721
Co 8.169 2.494 0.114
Co 5.172 1.579 1.735
CELL_PARAMETERS angstrom
4.554 -0.034 0.017
3.759 2.572 0.017
1.743 0.532 3.594